*A*
# NbHOs2W

A relaxed NbHOs2W crystal (PBE, Alexandria via LeMat-Bulk).

* crystal system: tetragonal

a b c (Å): 3.988 3.988 4.067
angles (deg): 90.00 90.00 90.00
Fractional coordinates of all 5 atoms:
H: 0.000 0.000 0.000
Os: 0.500 0.000 0.000
Nb: 0.000 0.000 0.500
Os: 0.000 0.500 0.000
W: 0.500 0.500 0.500

=====

*B*
# NbHOs2W

A relaxed NbHOs2W crystal (PBE, Alexandria via LeMat-Bulk).

* crystal system: tetragonal

a b c (Å): 3.998 3.998 4.052
angles (deg): 90.00 90.00 90.00
Fractional coordinates of all 5 atoms:
H: 0.000 0.000 0.000
Os: 0.500 0.000 0.000
Os: 0.000 0.500 0.000
W: 0.000 0.000 0.500
Nb: 0.500 0.500 0.500

=====

Q: Which of them is the most stable? A: *A*.

=====

*A*
# Nb2ZnHOs

A relaxed Nb2ZnHOs crystal (PBE, Alexandria via LeMat-Bulk).

* crystal system: tetragonal

a b c (Å): 4.072 4.072 4.018
angles (deg): 90.00 90.00 90.00
Fractional coordinates of all 5 atoms:
Nb: 0.500 0.000 0.000
Zn: 0.000 0.000 0.500
Os: 0.500 0.500 0.500
H: 0.000 0.000 0.000
Nb: 0.000 0.500 0.000

=====

*B*
# Nb2ZnHOs

A relaxed Nb2ZnHOs crystal (PBE, Alexandria via LeMat-Bulk).

* crystal system: tetragonal

a b c (Å): 4.131 4.131 3.934
angles (deg): 90.00 90.00 90.00
Fractional coordinates of all 5 atoms:
H: 0.000 0.000 0.000
Nb: 0.000 0.500 0.000
Zn: 0.500 0.500 0.500
Nb: 0.500 0.000 0.000
Os: 0.000 0.000 0.500

=====

Q: Which of them is the most stable? A: *B*.

=====

*A*
# NbP2H

A relaxed NbP2H crystal (PBE, Alexandria via LeMat-Bulk).

* crystal system: cubic

a b c (Å): 4.261 4.261 4.261
angles (deg): 60.00 60.00 60.00
Fractional coordinates of all 4 atoms:
P: 0.750 0.750 0.750
P: 0.250 0.250 0.250
Nb: 0.500 0.500 0.500
H: 0.000 0.000 0.000

=====

*B*
# NbP2H

A relaxed NbP2H crystal (PBE, Alexandria via LeMat-Bulk).

* crystal system: tetragonal

a b c (Å): 5.741 5.741 5.017
angles (deg): 55.11 55.11 90.00
Fractional coordinates of all 8 atoms:
Nb: 0.000 0.000 0.000
Nb: 0.750 0.250 0.500
H: 0.250 0.750 0.500
P: 0.527 0.125 0.250
P: 0.875 0.777 0.750
H: 0.500 0.500 0.000
P: 0.223 0.625 0.250
P: 0.375 0.473 0.750

=====

Q: Which of them is the most stable? A: *B*.